The following is a DFT calculation (GGA-PBEsol) of an optimized crystal structure of Ir2OsRu.

Cell: 2.6919 2.6919 7.6395 Å, 90.00 90.00 90.00°
Last column: nearest neighbours and their distance in Å.
Sites, in units of the cell vectors:
Ir (0.0000, 0.0000, 0.0000)  4 Ru 2.68, 8 Ir 2.69-2.73
Ir (0.5000, 0.5000, 0.2566)  8 Ir 2.69-2.73, 4 Os 2.69
Os (0.0000, 0.0000, 0.5060)  4 Ru 2.68, 4 Os 2.69, 4 Ir 2.69
Ru (0.5000, 0.5000, 0.7523)  4 Os 2.68, 4 Ir 2.68, 4 Ru 2.69

## Properties
Fermi-level density of states: 3.15 states/eV/f.u.
Final energy: -10.493 eV/atom
Energy relative to the elements: 0.02 eV/atom
Space-group type: No. 99